# 1
Computed, not measured: a relaxed structure of Sb2MoPb at the GGA-PBEsol level of DFT.

a = 8.9420 Å, b = 3.3454 Å, c = 6.5624 Å
α = 90.00°, β = 99.94°, γ = 90.00°
With the nearest neighbours (Å) after each atom.
Space group C2/m (No. 12)
Asymmetric unit:
Sb 0.2280 0.0000 0.1876 (multiplicity 4)  3 Mo 2.76-2.91, 2 Sb 3.06
Mo 0.0000 0.5000 0.0000 (multiplicity 2)  6 Sb 2.76-2.91
Pb 0.0000 0.0000 0.5000 (multiplicity 2)  6 Sb 3.13-3.35, 2 Pb 3.35

Summary:
**Raw formation energy**: 1.45 eV per formula unit
**Density**: 9.39 Mg/m³

=====

# 2
Computed, not measured: a relaxed structure of SiBrCl2 at the GGA-PBEsol level of DFT.

a = 6.7820 Å, b = 6.7820 Å, c = 6.7820 Å
α = 90.00°, β = 90.00°, γ = 90.00°
With the nearest neighbours (Å) after each atom.
Space group F-43m (No. 216)
Asymmetric unit:
Si 0.0000 0.0000 0.0000 (multiplicity 4)  4 Cl 2.94, 4 Br 2.94
Br 0.2500 0.2500 0.2500 (multiplicity 4)  4 Cl 2.94, 4 Si 2.94
Cl 0.0000 0.0000 0.5000 (multiplicity 4)  4 Cl 2.94, 4 Br 2.94
Cl 0.2500 0.2500 0.7500 (multiplicity 4)  4 Cl 2.94, 4 Si 2.94

Summary:
**Raw formation energy**: 0.75 eV per formula unit
**Density**: 3.81 Mg/m³
**Excess energy over the best structure of this formula in the dataset**: 0.273 eV/atom

=====

# 3
Computed, not measured: a relaxed structure of IBr2F at the GGA-PBEsol level of DFT.

a = 4.4245 Å, b = 4.4245 Å, c = 19.3299 Å
α = 90.00°, β = 90.00°, γ = 90.00°
With the nearest neighbours (Å) after each atom.
Space group I-42d (No. 122)
Asymmetric unit:
I 0.0000 0.0000 0.0000 (multiplicity 4)  4 Br 2.87, 4 F 3.13
Br 0.2451 0.2500 0.1250 (multiplicity 8)  2 I 2.87, 2 F 2.89, 4 Br 3.10-3.16
F 0.0000 0.0000 0.5000 (multiplicity 4)  4 Br 2.89, 4 I 3.13

Summary:
**Raw formation energy**: 0.47 eV per formula unit
**Density**: 5.37 Mg/m³

=====

# 4
Computed, not measured: a relaxed structure of Ag3O4 at the GGA-PBEsol level of DFT.

a = 3.6043 Å, b = 9.1722 Å, c = 5.6211 Å
α = 90.00°, β = 104.51°, γ = 90.00°
With the nearest neighbours (Å) after each atom.
Space group P2_1/c (No. 14)
Asymmetric unit:
Ag 0.0000 0.0000 0.0000 (multiplicity 2)  4 O 2.03
Ag 0.2856 0.1413 0.5494 (multiplicity 4)  4 O 2.02-2.06
O 0.0417 0.1917 0.8298 (multiplicity 4)  3 Ag 2.02-2.04
O 0.4757 0.0452 0.2721 (multiplicity 4)  3 Ag 2.03-2.06

Summary:
**Raw formation energy**: -0.40 eV per formula unit
**Density**: 7.16 Mg/m³

=====

# 5
Computed, not measured: a relaxed structure of Al2FeC at the GGA-PBEsol level of DFT.

a = 7.4110 Å, b = 7.4110 Å, c = 3.6714 Å
α = 90.00°, β = 90.00°, γ = 90.00°
With the nearest neighbours (Å) after each atom.
Space group I-42d (No. 122)
Asymmetric unit:
Al 0.1131 0.2500 0.1250 (multiplicity 8)  2 C 2.08
Fe 0.0000 0.0000 0.5000 (multiplicity 4)  2 C 1.84
C 0.0000 0.0000 0.0000 (multiplicity 4)  2 Fe 1.84

Summary:
**Density**: 4.01 Mg/m³
**Energy**: -102.52 eV/cell

=====

# 6
Computed, not measured: a relaxed structure of InGaS2Cl at the GGA-PBEsol level of DFT.

a = 4.9243 Å, b = 4.9243 Å, c = 5.1629 Å
α = 90.00°, β = 90.00°, γ = 90.00°
With the nearest neighbours (Å) after each atom.
Space group P4/mmm (No. 123)
Asymmetric unit:
In 0.0000 0.0000 0.0000 (multiplicity 1)  4 S 2.46, 2 Cl 2.58
Ga 0.5000 0.5000 0.5000 (multiplicity 1)  4 Cl 3.48, 8 S 3.57
S 0.0000 0.5000 0.0000 (multiplicity 2)  2 In 2.46
Cl 0.0000 0.0000 0.5000 (multiplicity 1)  2 In 2.58

Summary:
**Raw formation energy**: -0.43 eV per formula unit
**Density**: 3.77 Mg/m³

=====

# 7
Computed, not measured: a relaxed structure of KCa3Cd at the GGA-PBEsol level of DFT.

a = 6.1875 Å, b = 6.1875 Å, c = 6.1875 Å
α = 90.00°, β = 90.00°, γ = 90.00°
With the nearest neighbours (Å) after each atom.
Space group Pm-3m (No. 221)
Asymmetric unit:
K 0.0000 0.0000 0.0000 (multiplicity 1)  6 Ca 3.09
Ca 0.0000 0.0000 0.5000 (multiplicity 3)  2 K 3.09
Cd 0.5000 0.5000 0.5000 (multiplicity 1)  12 Ca 4.38

Summary:
**Density**: 1.90 Mg/m³
**Energy**: -4.05 eV/cell

=====

# 8
Computed, not measured: a relaxed structure of Ta2SbIr at the GGA-PBEsol level of DFT.

a = 4.8562 Å, b = 4.8562 Å, c = 2.9541 Å
α = 90.00°, β = 90.00°, γ = 90.00°
With the nearest neighbours (Å) after each atom.
Space group P4/mmm (No. 123)
Asymmetric unit:
Ta 0.0000 0.5000 0.0000 (multiplicity 2)  4 Sb 2.84, 4 Ir 2.84, 2 Ta 2.95
Sb 0.0000 0.0000 0.5000 (multiplicity 1)  8 Ta 2.84, 2 Sb 2.95
Ir 0.5000 0.5000 0.5000 (multiplicity 1)  8 Ta 2.84, 2 Ir 2.95

Summary:
**Raw formation energy**: 0.30 eV per formula unit
**Density**: 16.11 Mg/m³

=====

no.,calculated volume (Å³/atom)
1,24.2
2,19.5
3,23.7
4,12.8
5,12.6
6,25.0
7,47.4
8,17.4